Record 1
{"formula": "SrTl4Tc", "functional": "PBE", "state": "optimized geometry", "final_energy_ev_per_atom": -3.05, "formation_energy_mev_per_atom": 539.3, "dos_ef_per_ev_cell": 5.5, "cell": [[0.000, 4.431, 4.431], [4.431, 0.000, 4.431], [4.431, 4.431, 0.000]], "species": ["Sr", "Tl", "Tl", "Tl", "Tl", "Tc"], "fractional_positions": [[0.000, 0.000, 0.000], [0.376, 0.376, 0.376], [0.376, 0.376, 0.872], [0.376, 0.872, 0.376], [0.872, 0.376, 0.376], [0.750, 0.750, 0.750]]}

=====

Record 2
{"formula": "CdTcRh2", "functional": "PBE", "state": "optimized geometry", "final_energy_ev_per_atom": -6.12, "formation_energy_mev_per_atom": 379.4, "dos_ef_per_ev_cell": 30.0, "cell": [[6.307, 0.000, 0.000], [0.000, 6.307, 0.000], [0.000, 0.000, 6.307]], "species": ["Cd", "Cd", "Cd", "Cd", "Tc", "Tc", "Tc", "Tc", "Rh", "Rh", "Rh", "Rh", "Rh", "Rh", "Rh", "Rh"], "fractional_positions": [[0.000, 0.000, 0.000], [0.000, 0.500, 0.500], [0.500, 0.000, 0.500], [0.500, 0.500, 0.000], [0.250, 0.250, 0.250], [0.250, 0.750, 0.750], [0.750, 0.250, 0.750], [0.750, 0.750, 0.250], [0.000, 0.000, 0.500], [0.000, 0.500, 0.000], [0.250, 0.250, 0.750], [0.250, 0.750, 0.250], [0.500, 0.000, 0.000], [0.500, 0.500, 0.500], [0.750, 0.250, 0.250], [0.750, 0.750, 0.750]]}

=====

Record 3
{"formula": "TlNiP2", "functional": "PBE", "state": "optimized geometry", "de_polymorph_mev_per_atom": 321, "final_energy_ev_per_atom": -4.54, "formation_energy_mev_per_atom": 201.2, "dos_ef_per_ev_cell": 1.8, "cell": [[3.100, 0.000, 0.000], [0.000, 3.100, 0.000], [0.000, 0.000, 7.542]], "species": ["Tl", "Ni", "P", "P"], "fractional_positions": [[0.000, 0.000, 0.000], [0.500, 0.500, 0.303], [0.000, 0.000, 0.431], [0.500, 0.500, 0.600]]}

=====

Record 4
{"formula": "ZrAl2W", "functional": "PBE", "state": "optimized geometry", "de_polymorph_mev_per_atom": 68, "final_energy_ev_per_atom": -7.36, "formation_energy_mev_per_atom": -116.2, "dos_ef_per_ev_cell": 2.3, "cell": [[2.851, 0.000, 0.000], [0.000, 2.851, 0.000], [0.000, 0.000, 8.473]], "species": ["Zr", "Al", "Al", "W"], "fractional_positions": [[0.000, 0.000, 0.000], [0.500, 0.500, 0.265], [0.500, 0.500, 0.735], [0.000, 0.000, 0.500]]}

=====

Record 5
{"formula": "K3Na3FeCl8", "functional": "PBE", "state": "optimized geometry", "final_energy_ev_per_atom": -3.66, "dos_ef_per_ev_cell": 7.3, "cell": [[4.118, 2.378, 7.152], [-4.118, 2.378, 7.152], [0.000, -4.755, 7.152]], "species": ["K", "K", "K", "Na", "Na", "Na", "Fe", "Cl", "Cl", "Cl", "Cl", "Cl", "Cl", "Cl", "Cl"], "fractional_positions": [[0.000, 0.500, 0.500], [0.500, 0.000, 0.500], [0.500, 0.500, 0.000], [0.000, 0.000, 0.500], [0.000, 0.500, 0.000], [0.500, 0.000, 0.000], [0.500, 0.500, 0.500], [0.240, 0.240, 0.240], [0.270, 0.714, 0.714], [0.286, 0.286, 0.730], [0.286, 0.730, 0.286], [0.714, 0.270, 0.714], [0.714, 0.714, 0.270], [0.730, 0.286, 0.286], [0.760, 0.760, 0.760]]}